Entry 1:
DFT (SCAN) results for a PBEsol-optimized structure of RbTiMn3.

CIF file:
```
data_RbTiMn3
_symmetry_space_group_name_H-M 'P 1'
_symmetry_Int_Tables_number 1
_cell_length_a 4.655
_cell_length_b 4.655
_cell_length_c 4.655
_cell_angle_alpha 90.00
_cell_angle_beta 90.00
_cell_angle_gamma 90.00
loop_
_symmetry_equiv_pos_as_xyz
'x,y,z'
loop_
_atom_site_label
_atom_site_type_symbol
_atom_site_fract_x
_atom_site_fract_y
_atom_site_fract_z
Mn1 Mn 0.000 0.500 0.000
Mn2 Mn 0.000 0.000 0.500
Mn3 Mn 0.500 0.000 0.000
Rb1 Rb 0.000 0.000 0.000
Ti1 Ti 0.500 0.500 0.500
```

Computed properties:
Space-group type: Pm-3m, No. 221
Energy relative to the elements in eV/atom: 2.11
E_tot in eV per atom: -16.200
ρ in Mg/m³: 4.91

---

Entry 2:
DFT (SCAN) results for a PBEsol-optimized structure of RbMnTl3.

CIF file:
```
data_RbMnTl3
_symmetry_space_group_name_H-M 'P 1'
_symmetry_Int_Tables_number 1
_cell_length_a 5.184
_cell_length_b 5.184
_cell_length_c 5.184
_cell_angle_alpha 90.00
_cell_angle_beta 90.00
_cell_angle_gamma 90.00
loop_
_symmetry_equiv_pos_as_xyz
'x,y,z'
loop_
_atom_site_label
_atom_site_type_symbol
_atom_site_fract_x
_atom_site_fract_y
_atom_site_fract_z
Tl1 Tl 0.000 0.500 0.000
Tl2 Tl 0.000 0.000 0.500
Tl3 Tl 0.500 0.000 0.000
Mn1 Mn 0.000 0.000 0.000
Rb1 Rb 0.500 0.500 0.500
```

Computed properties:
Space-group type: Pm-3m, No. 221
Energy relative to the elements in eV/atom: -0.01
E_tot in eV per atom: -51.221
ρ in Mg/m³: 8.98

---

Entry 3:
DFT (SCAN) results for a PBEsol-optimized structure of Mn3Re4.

CIF file:
```
data_Mn3Re4
_symmetry_space_group_name_H-M 'P 1'
_symmetry_Int_Tables_number 1
_cell_length_a 4.617
_cell_length_b 4.617
_cell_length_c 4.849
_cell_angle_alpha 90.00
_cell_angle_beta 90.00
_cell_angle_gamma 120.00
loop_
_symmetry_equiv_pos_as_xyz
'x,y,z'
loop_
_atom_site_label
_atom_site_type_symbol
_atom_site_fract_x
_atom_site_fract_y
_atom_site_fract_z
Mn1 Mn 0.000 0.500 0.000
Mn2 Mn 0.500 0.000 0.000
Mn3 Mn 0.500 0.500 0.000
Re1 Re 0.000 0.000 0.747
Re2 Re 0.000 0.000 0.253
Re3 Re 0.333 0.667 0.500
Re4 Re 0.667 0.333 0.500
```

Computed properties:
Space-group type: P6/mmm, No. 191
Energy relative to the elements in eV/atom: -0.01
E_tot in eV per atom: -48.457
ρ in Mg/m³: 16.88

---

Entry 4:
DFT (SCAN) results for a PBEsol-optimized structure of MnRe5.

CIF file:
```
data_MnRe5
_symmetry_space_group_name_H-M 'P 1'
_symmetry_Int_Tables_number 1
_cell_length_a 4.378
_cell_length_b 4.707
_cell_length_c 4.707
_cell_angle_alpha 120.00
_cell_angle_beta 90.00
_cell_angle_gamma 90.00
loop_
_symmetry_equiv_pos_as_xyz
'x,y,z'
loop_
_atom_site_label
_atom_site_type_symbol
_atom_site_fract_x
_atom_site_fract_y
_atom_site_fract_z
Mn1 Mn 0.500 0.000 0.000
Re1 Re 0.000 0.326 0.326
Re2 Re 0.000 0.674 0.000
Re3 Re 0.000 0.000 0.674
Re4 Re 0.500 0.333 0.667
Re5 Re 0.500 0.667 0.333
```

Computed properties:
Energy relative to the lowest polymorph listed for this composition in eV/atom: 0.000
Space-group type: P-62m, No. 189
Energy relative to the elements in eV/atom: 0.01
E_tot in eV per atom: -62.282
ρ in Mg/m³: 19.49

---

Entry 5:
DFT (SCAN) results for a PBEsol-optimized structure of Mn2Re.

CIF file:
```
data_Mn2Re
_symmetry_space_group_name_H-M 'P 1'
_symmetry_Int_Tables_number 1
_cell_length_a 4.610
_cell_length_b 4.610
_cell_length_c 15.109
_cell_angle_alpha 90.00
_cell_angle_beta 90.00
_cell_angle_gamma 120.00
loop_
_symmetry_equiv_pos_as_xyz
'x,y,z'
loop_
_atom_site_label
_atom_site_type_symbol
_atom_site_fract_x
_atom_site_fract_y
_atom_site_fract_z
Mn1 Mn 0.333 0.667 0.129
Mn2 Mn 0.667 0.333 0.871
Mn3 Mn 0.667 0.333 0.629
Mn4 Mn 0.333 0.667 0.371
Mn5 Mn 0.500 0.500 0.000
Mn6 Mn 0.500 0.000 0.000
Mn7 Mn 0.000 0.500 0.000
Mn8 Mn 0.500 0.500 0.500
Mn9 Mn 0.500 0.000 0.500
Mn10 Mn 0.000 0.500 0.500
Mn11 Mn 0.159 0.841 0.250
Mn12 Mn 0.159 0.317 0.250
Mn13 Mn 0.683 0.841 0.250
Mn14 Mn 0.841 0.159 0.750
Mn15 Mn 0.841 0.683 0.750
Mn16 Mn 0.317 0.159 0.750
Re1 Re 0.000 0.000 0.091
Re2 Re 0.000 0.000 0.909
Re3 Re 0.000 0.000 0.591
Re4 Re 0.000 0.000 0.409
Re5 Re 0.333 0.667 0.843
Re6 Re 0.667 0.333 0.157
Re7 Re 0.667 0.333 0.343
Re8 Re 0.333 0.667 0.657
```

Computed properties:
Space-group type: P6_3/mmc, No. 194
Energy relative to the elements in eV/atom: -0.09
E_tot in eV per atom: -35.959
ρ in Mg/m³: 14.15

---

Entry 6:
DFT (SCAN) results for a PBEsol-optimized structure of MnRe5.

CIF file:
```
data_MnRe5
_symmetry_space_group_name_H-M 'P 1'
_symmetry_Int_Tables_number 1
_cell_length_a 2.725
_cell_length_b 4.381
_cell_length_c 7.168
_cell_angle_alpha 90.00
_cell_angle_beta 100.96
_cell_angle_gamma 90.00
loop_
_symmetry_equiv_pos_as_xyz
'x,y,z'
loop_
_atom_site_label
_atom_site_type_symbol
_atom_site_fract_x
_atom_site_fract_y
_atom_site_fract_z
Mn1 Mn 0.999 0.000 0.998
Re1 Re 0.778 0.500 0.555
Re2 Re 0.662 0.000 0.324
Re3 Re 0.447 0.500 0.895
Re4 Re 0.338 0.000 0.677
Re5 Re 0.109 0.500 0.218
```

Computed properties:
Energy relative to the lowest polymorph listed for this composition in eV/atom: 0.025
Space-group type: Amm2, No. 38
Energy relative to the elements in eV/atom: 0.03
E_tot in eV per atom: -62.257
ρ in Mg/m³: 19.49

---

Entry 7:
DFT (SCAN) results for a PBEsol-optimized structure of Mn2Re.

CIF file:
```
data_Mn2Re
_symmetry_space_group_name_H-M 'P 1'
_symmetry_Int_Tables_number 1
_cell_length_a 4.615
_cell_length_b 4.615
_cell_length_c 4.615
_cell_angle_alpha 60.00
_cell_angle_beta 60.00
_cell_angle_gamma 60.00
loop_
_symmetry_equiv_pos_as_xyz
'x,y,z'
loop_
_atom_site_label
_atom_site_type_symbol
_atom_site_fract_x
_atom_site_fract_y
_atom_site_fract_z
Mn1 Mn 0.125 0.125 0.125
Mn2 Mn 0.125 0.125 0.625
Mn3 Mn 0.625 0.125 0.125
Mn4 Mn 0.125 0.625 0.125
Re1 Re 0.500 0.500 0.500
Re2 Re 0.750 0.750 0.750
```

Computed properties:
Space-group type: Fd-3m, No. 227
Energy relative to the elements in eV/atom: -0.03
E_tot in eV per atom: -35.896
ρ in Mg/m³: 14.14

---

Entry 8:
DFT (SCAN) results for a PBEsol-optimized structure of Mn5Re.

CIF file:
```
data_Mn5Re
_symmetry_space_group_name_H-M 'P 1'
_symmetry_Int_Tables_number 1
_cell_length_a 4.551
_cell_length_b 4.551
_cell_length_c 4.551
_cell_angle_alpha 60.00
_cell_angle_beta 60.00
_cell_angle_gamma 60.00
loop_
_symmetry_equiv_pos_as_xyz
'x,y,z'
loop_
_atom_site_label
_atom_site_type_symbol
_atom_site_fract_x
_atom_site_fract_y
_atom_site_fract_z
Mn1 Mn 0.377 0.377 0.377
Mn2 Mn 0.750 0.750 0.750
Mn3 Mn 0.870 0.377 0.377
Mn4 Mn 0.377 0.870 0.377
Mn5 Mn 0.377 0.377 0.870
Re1 Re 0.000 0.000 0.000
```

Computed properties:
Space-group type: F-43m, No. 216
Energy relative to the elements in eV/atom: 0.02
E_tot in eV per atom: -27.046
ρ in Mg/m³: 11.48